[1]
LiHoMnRh | PBE | relaxed

Unit cell a=4.622 b=4.622 c=4.622 alpha=60.00 beta=60.00 gamma=60.00
Last column: magnetic moment on the atom in μB.
Positions (direct):
Mn (0.750, 0.750, 0.750)  3.78
Rh (0.000, 0.000, 0.000)  0.33
Ho (0.250, 0.250, 0.250)  -0.20
Li (0.500, 0.500, 0.500)  -0.04

The calculation puts the theoretical density at 7.84 g/cm³. The calculated volume is 17.5 Å³/atom. Its final energy is -23.988 eV per formula unit. As for the formation energy: -23.5 kJ per mole of atoms. The calculation puts the total magnetization at 3.97 μB/cell.

[2]
Li4Ho3MnS8 | PBE | relaxed

Unit cell a=7.586 b=7.562 c=7.658 alpha=120.26 beta=119.69 gamma=90.00
Last column: magnetic moment on the atom in μB.
Positions (direct):
Li (0.500, 0.000, 0.000)  0.01
Li (0.500, 0.000, 0.500)  0.00
Li (0.000, 0.000, 0.000)  0.00
Li (0.000, 0.000, 0.500)  0.00
Ho (0.500, 0.500, 0.000)  0.02
Ho (0.500, 0.500, 0.500)  0.01
Ho (0.000, 0.500, 0.500)  0.01
Mn (0.000, 0.500, 0.000)  3.71
S (0.225, 0.731, 0.003)  -0.02
S (0.266, 0.769, 0.533)  0.03
S (0.251, 0.248, 0.502)  0.00
S (0.779, 0.731, 0.003)  -0.02
S (0.221, 0.269, 0.997)  -0.02
S (0.749, 0.752, 0.498)  0.00
S (0.734, 0.231, 0.467)  0.03
S (0.775, 0.269, 0.997)  -0.02

The calculation puts the uncorrected formation energy at -1.575 eV per atom. The calculation puts the theoretical density at 4.45 g/cm³. The calculated volume is 19.4 Å³/atom. Its final energy is -88.777 eV per formula unit. The calculation puts the total magnetization at 3.99 μB/cell.

Q: Look up the final energy of the second one.
A: -88.777 eV per formula unit